[1]
11
Lattice="7.0207 0.0000 0.0000 -3.5103 6.0801 0.0000 0.0000 0.0000 8.6390" Properties=species:S:1:pos:R:3 comment="Y3Ho7Th, optimized geometry, DFT PBE" mass_density_g_cm3=7.44 formation_enthalpy_0k_mev_per_atom=190 e_above_lowest_polymorph_mev_per_atom=29 pbc="T T T"
Y -1.7431 3.0470 0.0000
Y 1.7431 3.0470 0.0000
Y 0.0000 6.0662 0.0000
Ho 0.0000 2.0626 2.9372
Ho -1.7241 5.0488 2.9372
Ho 1.7674 1.0204 5.7466
Ho 1.7241 5.0488 2.9372
Ho 3.5103 2.0267 2.8907
Ho 5.2533 1.0204 5.7466
Ho 3.5103 4.0393 5.7466
Th 0.0000 4.0534 5.7471

[2]
9
Lattice="-2.9361 2.9361 3.8341 2.9361 -2.9361 3.8341 2.9361 2.9361 -3.8341" Properties=species:S:1:pos:R:3 comment="Mn2Sn2BRh4, optimized geometry, DFT PBE" mass_density_g_cm3=9.67 formation_enthalpy_0k_mev_per_atom=-344 pbc="T T T"
Mn 0.0000 0.0000 1.7271
Mn 0.0000 0.0000 5.9411
Sn 2.9361 0.0000 1.9170
Sn 0.0000 2.9361 1.9170
B 0.0000 0.0000 3.8341
Rh 1.4604 1.4604 0.0000
Rh 1.4758 -1.4758 3.8341
Rh -1.4758 1.4758 3.8341
Rh 1.4758 1.4758 3.8341

[3]
4
Lattice="3.6499 0.0000 0.0000 0.0000 5.0047 0.0000 -1.6723 0.0000 5.0528" Properties=species:S:1:pos:R:3 comment="LaCd2Fe, optimized geometry, DFT PBE" mass_density_g_cm3=7.55 formation_enthalpy_0k_mev_per_atom=121 pbc="T T T"
La 0.0000 0.0000 0.0000
Cd 0.1186 2.5023 3.6070
Cd 1.8591 2.5023 1.4458
Fe 0.9888 0.0000 2.5264

[4]
4
Lattice="3.5118 0.0000 0.0000 0.0000 3.5118 0.0000 0.0000 0.0000 8.6039" Properties=species:S:1:pos:R:3 comment="CeHo2Zn, optimized geometry, DFT PBE" mass_density_g_cm3=8.38 formation_enthalpy_0k_mev_per_atom=-122 e_above_lowest_polymorph_mev_per_atom=0 pbc="T T T"
Ce 0.0000 0.0000 0.0000
Ho 1.7559 1.7559 2.5165
Ho 1.7559 1.7559 6.0874
Zn 0.0000 0.0000 4.3020